First-principles (PBE-GGA) data for a relaxed Al2As crystal, as listed in Alexandria.

Geometry as POSCAR:
```
Al2As
1.0
3.5265 0.0000 0.0000
0.0000 17.7268 0.0000
0.0000 0.0000 3.6796
Al As
8 4
Direct
0.0000 0.0635 0.2500
0.0000 0.2126 0.7500
0.0000 0.7874 0.2500
0.0000 0.9365 0.7500
0.5000 0.2874 0.2500
0.5000 0.4365 0.7500
0.5000 0.5635 0.2500
0.5000 0.7126 0.7500
0.0000 0.4010 0.2500
0.0000 0.5990 0.7500
0.5000 0.0990 0.7500
0.5000 0.9010 0.2500
```

Computed properties:
The energy of formation comes out at 0.047 eV/atom.

=====

First-principles (PBE-GGA) data for a relaxed Al5As3 crystal, as listed in Alexandria.

Geometry as POSCAR:
```
Al5As3
1.0
2.9492 -7.1055 0.0000
2.9492 7.1055 0.0000
-2.9422 0.0000 7.1321
Al As
10 6
Direct
0.0000 0.0000 0.0000
0.0210 0.8177 0.2832
0.1841 0.4683 0.2020
0.2627 0.9804 0.7946
0.4683 0.1841 0.2020
0.5015 0.5015 0.9996
0.5315 0.7366 0.7161
0.7366 0.5315 0.7161
0.8177 0.0210 0.2832
0.9804 0.2627 0.7946
0.2343 0.2343 0.6142
0.2470 0.7469 0.4983
0.3823 0.7666 0.9985
0.6171 0.6171 0.3818
0.7469 0.2470 0.4983
0.7666 0.3823 0.9985
```

Computed properties:
The energy above the most stable polymorph in this dataset comes out at 0.0000 eV per atom. The energy of formation comes out at -0.071 eV/atom.

=====

First-principles (PBE-GGA) data for a relaxed AlAs2 crystal, as listed in Alexandria.

Geometry as POSCAR:
```
AlAs2
1.0
4.6917 0.0000 0.0000
-2.3458 4.0631 0.0000
0.0000 0.0000 5.7846
Al As
2 4
Direct
0.3333 0.6667 0.2500
0.6667 0.3333 0.7500
0.0000 0.0000 0.0000
0.0000 0.0000 0.5000
0.3333 0.6667 0.7500
0.6667 0.3333 0.2500
```

Computed properties:
The energy of formation comes out at 0.236 eV/atom.

=====

First-principles (PBE-GGA) data for a relaxed Al2As crystal, as listed in Alexandria.

Geometry as POSCAR:
```
Al2As
1.0
3.7317 0.0000 0.0000
-1.8658 3.2317 0.0000
0.0000 0.0000 4.8781
Al As
2 1
Direct
0.3333 0.6667 0.3044
0.6667 0.3333 0.6956
0.0000 0.0000 0.0000
```

Computed properties:
The energy of formation comes out at -0.046 eV/atom.